VASP calculation (PBE) on crystalline AlSiSb at its relaxed geometry.

The value obtained for the final energy is -12.585 eV for the cell shown. The total magnetic moment is 0.000 Bohr magnetons per cell. The value obtained for the uncorrected formation energy is 22.62 kJ/mol of atoms.

It has space group P3m1 (No. 156), with a = 3.8942 Å, b = 3.8942 Å, c = 4.9691 Å, α = 90.00°, β = 90.00° and γ = 120.00°. Symmetry generates all atoms from Al at (0.0000, 0.0000, 0.0000), Si at (0.3333, 0.6667, 0.7261) and Sb at (0.6667, 0.3333, 0.4021).